1.
# PBE BaNa2Os, relaxed
# - magnetic moment (μB/f.u.) = 1.3
# - V (Å³/atom) = 29.8
# - calculated formation energy (eV/atom) = 0.955
data_BaNa2Os
_chemical_formula_sum 'Ba4 Na8 Os4'
_symmetry_space_group_name_H-M 'I -4 2 d'
_symmetry_Int_Tables_number 122
_symmetry_space_group_name_Hall 'I -4 2bw'
_cell_length_a 4.498
_cell_length_b 4.498
_cell_length_c 23.560
_cell_angle_alpha 90.00
_cell_angle_beta 90.00
_cell_angle_gamma 90.00
loop_
_atom_site_label
_atom_site_type_symbol
_atom_site_fract_x
_atom_site_fract_y
_atom_site_fract_z
_atom_site_occupancy
Ba1 Ba 0.000 0.000 0.000 1
Na1 Na 0.201 0.250 0.625 1
Os1 Os 0.000 0.000 0.500 1

=====

2.
# PBE BaNa3Os, relaxed
# - magnetic moment (μB/f.u.) = 1.0
# - V (Å³/atom) = 44.1
# - calculated formation energy (eV/atom) = 2.036
data_BaNa3Os
_chemical_formula_sum 'Ba1 Na3 Os1'
_symmetry_space_group_name_H-M 'P m -3 m'
_symmetry_Int_Tables_number 221
_symmetry_space_group_name_Hall '-P 4 2 3'
_cell_length_a 6.041
_cell_length_b 6.041
_cell_length_c 6.041
_cell_angle_alpha 90.00
_cell_angle_beta 90.00
_cell_angle_gamma 90.00
loop_
_atom_site_label
_atom_site_type_symbol
_atom_site_fract_x
_atom_site_fract_y
_atom_site_fract_z
_atom_site_occupancy
Ba1 Ba 0.000 0.000 0.000 1
Na1 Na 0.000 0.000 0.500 1
Os1 Os 0.500 0.500 0.500 1

=====

3.
# PBE BaNa3Os, relaxed
# - magnetic moment (μB/f.u.) = 1.0
# - V (Å³/atom) = 34.7
# - calculated formation energy (eV/atom) = 0.981
data_BaNa3Os
_chemical_formula_sum 'Ba1 Na3 Os1'
_symmetry_space_group_name_H-M 'P m -3 m'
_symmetry_Int_Tables_number 221
_symmetry_space_group_name_Hall '-P 4 2 3'
_cell_length_a 5.579
_cell_length_b 5.579
_cell_length_c 5.579
_cell_angle_alpha 90.00
_cell_angle_beta 90.00
_cell_angle_gamma 90.00
loop_
_atom_site_label
_atom_site_type_symbol
_atom_site_fract_x
_atom_site_fract_y
_atom_site_fract_z
_atom_site_occupancy
Ba1 Ba 0.000 0.000 0.000 1
Na1 Na 0.000 0.500 0.500 1
Os1 Os 0.500 0.500 0.500 1

=====

4.
# PBE BaNa2Os2, relaxed
# - magnetic moment (μB/f.u.) = 0.0
# - V (Å³/atom) = 23.1
# - calculated formation energy (eV/atom) = 1.020
data_BaNa2Os2
_chemical_formula_sum 'Ba2 Na4 Os4'
_symmetry_space_group_name_H-M 'P 4/m b m'
_symmetry_Int_Tables_number 127
_symmetry_space_group_name_Hall '-P 4 2ab'
_cell_length_a 9.024
_cell_length_b 9.024
_cell_length_c 2.833
_cell_angle_alpha 90.00
_cell_angle_beta 90.00
_cell_angle_gamma 90.00
loop_
_atom_site_label
_atom_site_type_symbol
_atom_site_fract_x
_atom_site_fract_y
_atom_site_fract_z
_atom_site_occupancy
Ba1 Ba 0.000 0.000 0.000 1
Na1 Na 0.189 0.311 0.500 1
Os1 Os 0.091 0.591 0.000 1

=====

5.
# PBE BaNa2Os, relaxed
# - magnetic moment (μB/f.u.) = 0.7
# - V (Å³/atom) = 26.0
# - calculated formation energy (eV/atom) = 0.971
data_BaNa2Os
_chemical_formula_sum 'Ba4 Na8 Os4'
_symmetry_space_group_name_H-M 'F m -3 m'
_symmetry_Int_Tables_number 225
_symmetry_space_group_name_Hall '-F 4 2 3'
_cell_length_a 7.464
_cell_length_b 7.464
_cell_length_c 7.464
_cell_angle_alpha 90.00
_cell_angle_beta 90.00
_cell_angle_gamma 90.00
loop_
_atom_site_label
_atom_site_type_symbol
_atom_site_fract_x
_atom_site_fract_y
_atom_site_fract_z
_atom_site_occupancy
Ba1 Ba 0.000 0.000 0.000 1
Na1 Na 0.250 0.250 0.250 1
Os1 Os 0.000 0.000 0.500 1

=====

6.
# PBE BaNa2Os2, relaxed
# - magnetic moment (μB/f.u.) = 1.3
# - V (Å³/atom) = 28.1
# - calculated formation energy (eV/atom) = 1.045
data_BaNa2Os2
_chemical_formula_sum 'Ba2 Na4 Os4'
_symmetry_space_group_name_H-M 'I 4/m m m'
_symmetry_Int_Tables_number 139
_symmetry_space_group_name_Hall '-I 4 2'
_cell_length_a 4.622
_cell_length_b 4.622
_cell_length_c 13.153
_cell_angle_alpha 90.00
_cell_angle_beta 90.00
_cell_angle_gamma 90.00
loop_
_atom_site_label
_atom_site_type_symbol
_atom_site_fract_x
_atom_site_fract_y
_atom_site_fract_z
_atom_site_occupancy
Ba1 Ba 0.000 0.000 0.000 1
Na1 Na 0.000 0.500 0.250 1
Os1 Os 0.000 0.000 0.415 1

=====

7.
# PBE BaNa2OsS, relaxed
# - magnetic moment (μB/f.u.) = 0.0
# - V (Å³/atom) = 27.4
# - total DFT energy (no corrections) (eV/cell) = -19.27
data_BaNa2OsS
_chemical_formula_sum 'Ba1 Na2 Os1 S1'
_symmetry_space_group_name_H-M 'P 4/m m m'
_symmetry_Int_Tables_number 123
_symmetry_space_group_name_Hall '-P 4 2'
_cell_length_a 5.579
_cell_length_b 5.579
_cell_length_c 4.408
_cell_angle_alpha 90.00
_cell_angle_beta 90.00
_cell_angle_gamma 90.00
loop_
_atom_site_label
_atom_site_type_symbol
_atom_site_fract_x
_atom_site_fract_y
_atom_site_fract_z
_atom_site_occupancy
Ba1 Ba 0.000 0.000 0.000 1
Na1 Na 0.000 0.500 0.500 1
Os1 Os 0.500 0.500 0.500 1
S1 S 0.500 0.500 0.000 1

=====

8.
# PBE BaNaSn2Os, relaxed
# - magnetic moment (μB/f.u.) = 0.0
# - V (Å³/atom) = 33.1
# - calculated formation energy (eV/atom) = 0.119
data_BaNaSn2Os
_chemical_formula_sum 'Ba1 Na1 Sn2 Os1'
_symmetry_space_group_name_H-M 'P 4/m m m'
_symmetry_Int_Tables_number 123
_symmetry_space_group_name_Hall '-P 4 2'
_cell_length_a 5.220
_cell_length_b 5.220
_cell_length_c 6.070
_cell_angle_alpha 90.00
_cell_angle_beta 90.00
_cell_angle_gamma 90.00
loop_
_atom_site_label
_atom_site_type_symbol
_atom_site_fract_x
_atom_site_fract_y
_atom_site_fract_z
_atom_site_occupancy
Ba1 Ba 0.000 0.000 0.000 1
Na1 Na 0.500 0.500 0.000 1
Sn1 Sn 0.000 0.500 0.500 1
Os1 Os 0.000 0.000 0.500 1